Record 1
A relaxed LaI crystal, computed with PBEsol.

a b c (Å): 3.9038 3.9038 9.4538
angles (deg): 90.00 90.00 120.00
Space group P6_3/mmc (No. 194)
Unique sites:
La (0.0000, 0.0000, 0.0000) [2 per cell]
I (0.3333, 0.6667, 0.2500) [2 per cell]

Summary:
- Raw formation energy: -1156 meV per atom
- E: -4.712 eV per atom
- N(E_F): 0.963 states/eV/f.u.

***

Record 2
A relaxed CoNiIr2 crystal, computed with PBEsol.

a b c (Å): 2.6401 2.6401 24.9043
angles (deg): 90.00 90.00 120.00
Space group R3m (No. 160, hexagonal axes)
Unique sites:
Co (0.0000, 0.0000, 0.0000) [3 per cell]
Ni (0.0000, 0.0000, 0.7435) [3 per cell]
Ir (0.0000, 0.0000, 0.2507) [3 per cell]
Ir (0.0000, 0.0000, 0.4938) [3 per cell]

Summary:
- E: -8.300 eV per atom
- N(E_F): 5.589 states/eV/f.u.
- Energy of formation: 0.085 eV per atom

***

Record 3
A relaxed Si4AsRu crystal, computed with PBEsol.

a b c (Å): 7.040 7.040 7.040
angles (deg): 90.00 90.00 90.00
Space group F-43m (No. 216)
Unique sites:
Si (0.124, 0.124, 0.376) [16 per cell]
As (0.250, 0.250, 0.750) [4 per cell]
Ru (0.000, 0.000, 0.000) [4 per cell]

Summary:
- Raw formation energy: 571 meV per atom
- E: -5.806 eV per atom
- N(E_F): 5.490 states/eV/f.u.

***

| no. | total magnetic moment (μB per atom) |
| --- | --- |
| 1 | 0.000 |
| 2 | 0.544 |
| 3 | 0.001 |